# 1
An optimized crystal structure of ZnSbRu2. Source: Alexandria, functional PBE.

```
ZnSbRu2
1.0
4.4054 0.0000 0.0000
0.0000 4.4054 0.0000
0.0000 0.0000 3.1632
Sb Ru Zn
1 2 1
Direct
0.5000 0.0000 0.5000
0.0000 0.0000 0.0000
0.5000 0.5000 0.0000
0.0000 0.5000 0.5000
```

## Properties
DOS at the Fermi energy (states/eV/f.u.): 3.07

# 2
An optimized crystal structure of ZnSbRu2. Source: Alexandria, functional PBE.

```
ZnSbRu2
1.0
-4.1941 -2.6080 -0.9197
-2.7167 -4.0018 1.3579
-3.2166 1.3870 2.9354
Ru Sb Zn
2 1 1
Direct
0.0069 0.0069 0.0720
0.7438 0.7438 0.6820
0.4888 0.4888 0.5698
0.2604 0.2604 0.1762
```

## Properties
DOS at the Fermi energy (states/eV/f.u.): 2.79

no.,total magnetization (μB per cell),formation energy (no corrections) (eV per atom),E (eV/atom)
1,0.0,-0.025,-6.01
2,0.0,0.041,-5.95